1.
{"formula": "Co2SiAu", "functional": "PBE-GGA", "state": "optimized geometry", "cell": [[2.759, 0.000, 0.000], [0.000, 2.759, 0.000], [0.000, 0.000, 6.568]], "species": ["Si", "Au", "Co", "Co"], "fractional_positions": [[0.500, 0.500, 0.250], [0.500, 0.500, 0.750], [0.000, 0.000, 0.051], [0.000, 0.000, 0.449]], "total_magnetization_mub_per_cell": 0.00, "raw_formation_energy_ev_per_atom": -0.19}

***

2.
{"formula": "In2OsRh", "functional": "PBE-GGA", "state": "optimized geometry", "cell": [[-1.521, -4.450, 2.270], [1.812, -0.722, 4.844], [-2.408, 3.891, -2.516]], "species": ["In", "Rh", "Os", "In"], "fractional_positions": [[0.000, 0.000, 0.000], [0.750, 0.250, 0.500], [0.500, 0.500, 0.000], [0.250, 0.750, 0.500]], "relative_energy_ev_per_atom": 0.263, "delta_e_f_ev_per_atom": 0.327, "total_magnetization_mub_per_cell": 0.00}

***

3.
{"formula": "Sr2LaMo", "functional": "PBE-GGA", "state": "optimized geometry", "cell": [[-3.650, 0.628, 0.968], [-0.371, -3.711, 0.861], [2.730, 1.838, 9.099]], "species": ["La", "Mo", "Sr", "Sr"], "fractional_positions": [[0.000, 0.000, 0.577], [0.500, 0.500, 0.707], [0.000, 0.000, 0.935], [0.500, 0.500, 0.281]], "relative_energy_ev_per_atom": 0.000, "delta_e_f_ev_per_atom": 0.520, "total_magnetization_mub_per_cell": 0.90}

***

4.
{"formula": "BaAgPt2", "functional": "PBE-GGA", "state": "optimized geometry", "cell": [[10.044, 0.132, 0.078], [9.520, 3.204, 0.078], [9.520, 1.623, 2.763]], "species": ["Pt", "Ba", "Pt", "Ag"], "fractional_positions": [[0.008, 0.008, 0.008], [0.250, 0.250, 0.250], [0.492, 0.492, 0.492], [0.750, 0.750, 0.750]], "relative_energy_ev_per_atom": 0.716, "delta_e_f_ev_per_atom": 0.280, "total_magnetization_mub_per_cell": 0.00}

***

5.
{"formula": "Li2GeAu", "functional": "PBE-GGA", "state": "optimized geometry", "cell": [[3.376, 0.000, 0.000], [0.000, 4.242, 0.000], [0.000, 0.000, 4.242]], "species": ["Ge", "Li", "Au", "Li"], "fractional_positions": [[0.500, 0.000, 0.000], [0.000, 0.000, 0.500], [0.500, 0.500, 0.500], [0.000, 0.500, 0.000]], "delta_e_f_ev_per_atom": -0.394, "total_magnetization_mub_per_cell": 0.00}

***

6.
{"formula": "Co2SiNi", "functional": "PBE-GGA", "state": "optimized geometry", "cell": [[-3.015, -0.236, -1.487], [0.627, -3.223, -0.760], [-4.628, -4.131, 6.223]], "species": ["Co", "Si", "Co", "Co", "Co", "Ni", "Si", "Ni"], "fractional_positions": [[0.375, 0.383, 0.750], [0.500, 0.500, 0.000], [0.875, 0.867, 0.750], [0.133, 0.625, 0.250], [0.617, 0.125, 0.250], [0.000, 0.000, 0.000], [0.250, 0.750, 0.500], [0.750, 0.250, 0.500]], "total_magnetization_mub_per_cell": 5.67, "raw_formation_energy_ev_per_atom": 0.13}

***

7.
{"formula": "CsAs2PtCl", "functional": "PBE-GGA", "state": "optimized geometry", "cell": [[6.221, 0.000, 0.000], [0.000, 5.949, 0.000], [0.000, 0.000, 6.221]], "species": ["As", "Pt", "Cl", "As", "Cs"], "fractional_positions": [[0.500, 0.000, 0.000], [0.500, 0.500, 0.500], [0.000, 0.500, 0.000], [0.000, 0.000, 0.500], [0.000, 0.000, 0.000]], "total_magnetization_mub_per_cell": 3.52, "raw_formation_energy_ev_per_atom": 1.75}

***

8.
{"formula": "SrMg2Cd", "functional": "PBE-GGA", "state": "optimized geometry", "cell": [[-1.612, 3.366, -3.873], [-4.965, -0.406, -2.028], [-3.666, 3.783, 1.073]], "species": ["Cd", "Mg", "Sr", "Mg"], "fractional_positions": [[0.250, 0.250, 0.251], [0.750, 0.750, 0.749], [0.500, 0.500, 0.500], [0.000, 0.000, 0.000]], "delta_e_f_ev_per_atom": -0.126, "total_magnetization_mub_per_cell": 0.00}

***

9.
{"formula": "ReAgAs2", "functional": "PBE-GGA", "state": "optimized geometry", "cell": [[4.456, 0.017, 0.020], [3.354, 2.934, 0.020], [0.885, 0.335, 5.376]], "species": ["As", "Ag", "Re", "As"], "fractional_positions": [[0.978, 0.978, 0.041], [0.750, 0.750, 0.750], [0.250, 0.250, 0.250], [0.522, 0.522, 0.459]], "relative_energy_ev_per_atom": 0.194, "delta_e_f_ev_per_atom": 0.344, "total_magnetization_mub_per_cell": 0.00}

***

10.
{"formula": "CuS2BrCl", "functional": "PBE-GGA", "state": "optimized geometry", "cell": [[4.686, 0.000, 0.000], [0.000, 4.686, 0.000], [0.000, 0.000, 4.539]], "species": ["Cu", "S", "Cl", "Br", "S"], "fractional_positions": [[0.000, 0.000, 0.000], [0.000, 0.500, 0.000], [0.000, 0.000, 0.500], [0.500, 0.500, 0.500], [0.500, 0.000, 0.000]], "relative_energy_ev_per_atom": 0.000, "total_magnetization_mub_per_cell": 0.00, "raw_formation_energy_ev_per_atom": 0.54}

***

11.
{"formula": "LaZrBr2", "functional": "PBE-GGA", "state": "optimized geometry", "cell": [[-3.197, -1.345, 0.794], [0.828, -1.662, -3.035], [4.371, -7.323, 5.202]], "species": ["Br", "Zr", "La", "Br"], "fractional_positions": [[0.000, 0.000, 0.933], [0.500, 0.500, 0.762], [0.000, 0.000, 0.505], [0.500, 0.500, 0.301]], "relative_energy_ev_per_atom": 0.090, "total_magnetization_mub_per_cell": 0.00, "raw_formation_energy_ev_per_atom": -0.85}

***

12.
{"formula": "LaTlHgPd", "functional": "PBE-GGA", "state": "optimized geometry", "cell": [[-4.634, 0.145, 2.314], [-2.453, -4.413, 1.165], [-0.474, -1.473, 4.945]], "species": ["Hg", "Tl", "La", "Pd"], "fractional_positions": [[0.250, 0.250, 0.250], [0.000, 0.000, 0.000], [0.500, 0.500, 0.500], [0.750, 0.750, 0.750]], "delta_e_f_ev_per_atom": -0.470, "total_magnetization_mub_per_cell": 0.00}

***

13.
{"formula": "K2ReAg", "functional": "PBE-GGA", "state": "optimized geometry", "cell": [[11.934, 0.004, 0.002], [11.566, 2.941, 0.002], [11.566, 1.449, 2.559]], "species": ["Re", "Ag", "K", "K"], "fractional_positions": [[0.250, 0.250, 0.250], [0.750, 0.750, 0.750], [0.503, 0.503, 0.503], [0.997, 0.997, 0.997]], "relative_energy_ev_per_atom": 0.114, "delta_e_f_ev_per_atom": 1.097, "total_magnetization_mub_per_cell": 0.13}

***

14.
{"formula": "Sb2IrRh", "functional": "PBE-GGA", "state": "optimized geometry", "cell": [[10.194, -1.571, 0.017], [10.194, 1.571, 0.017], [9.947, 0.000, 2.727]], "species": ["Sb", "Sb", "Rh", "Ir"], "fractional_positions": [[0.975, 0.975, 0.975], [0.774, 0.774, 0.774], [0.245, 0.245, 0.245], [0.506, 0.506, 0.506]], "relative_energy_ev_per_atom": 0.363, "total_magnetization_mub_per_cell": 0.00, "raw_formation_energy_ev_per_atom": 0.16}

***

15.
{"formula": "CaLaVSn2", "functional": "PBE-GGA", "state": "optimized geometry", "cell": [[-0.588, -0.716, -5.824], [-5.010, -3.212, 0.901], [-3.215, 4.935, -0.282]], "species": ["Sn", "Sn", "La", "V", "Ca"], "fractional_positions": [[0.000, 0.000, 0.500], [0.500, 0.000, 0.000], [0.000, 0.000, 0.000], [0.500, 0.500, 0.500], [0.000, 0.500, 0.000]], "delta_e_f_ev_per_atom": 1.197, "total_magnetization_mub_per_cell": 3.86}

***

16.
{"formula": "CsSnBiF2", "functional": "PBE-GGA", "state": "optimized geometry", "cell": [[-3.779, -1.045, -2.721], [-3.312, -3.643, 5.999], [-2.085, 4.082, 1.328]], "species": ["Cs", "Sn", "F", "F", "Bi"], "fractional_positions": [[0.000, 0.500, 0.000], [0.000, 0.000, 0.000], [0.500, 0.000, 0.000], [0.000, 0.000, 0.500], [0.500, 0.500, 0.500]], "total_magnetization_mub_per_cell": 1.76, "raw_formation_energy_ev_per_atom": -0.82}

***

17.
{"formula": "Pm2Zn3Cu12Au", "functional": "PBE-GGA", "state": "optimized geometry", "cell": [[9.394, 1.857, 1.317], [6.254, 7.251, 1.317], [6.254, 3.641, 6.408]], "species": ["Cu", "Zn", "Cu", "Pm", "Zn", "Cu", "Pm", "Cu", "Cu", "Cu", "Cu", "Cu", "Cu", "Au", "Zn", "Cu", "Cu", "Cu"], "fractional_positions": [[0.802, 0.419, 0.419], [0.000, 0.500, 0.000], [0.916, 0.383, 0.916], [0.647, 0.647, 0.647], [0.500, 0.000, 0.000], [0.581, 0.581, 0.198], [0.353, 0.353, 0.353], [0.419, 0.419, 0.802], [0.383, 0.916, 0.916], [0.916, 0.916, 0.383], [0.198, 0.581, 0.581], [0.617, 0.084, 0.084], [0.419, 0.802, 0.419], [0.000, 0.000, 0.000], [0.000, 0.000, 0.500], [0.581, 0.198, 0.581], [0.084, 0.084, 0.617], [0.084, 0.617, 0.084]], "delta_e_f_ev_per_atom": 0.096, "total_magnetization_mub_per_cell": 0.00}

***

18.
{"formula": "VTc2Mo2", "functional": "PBE-GGA", "state": "optimized geometry", "cell": [[-0.455, 2.340, 6.900], [5.114, -4.822, 1.972], [2.114, 2.019, -0.545]], "species": ["Tc", "V", "Mo", "Mo", "Mo", "Tc", "Tc", "Tc", "Mo", "V"], "fractional_positions": [[0.360, 0.860, 0.000], [0.500, 0.500, 0.000], [0.164, 0.664, 0.500], [0.664, 0.836, 0.500], [0.836, 0.336, 0.500], [0.860, 0.640, 0.000], [0.140, 0.360, 0.000], [0.640, 0.140, 0.000], [0.336, 0.164, 0.500], [0.000, 0.000, 0.000]], "relative_energy_ev_per_atom": 0.447, "delta_e_f_ev_per_atom": 0.363, "total_magnetization_mub_per_cell": 0.00}

***

19.
{"formula": "GdY3Cu", "functional": "PBE-GGA", "state": "optimized geometry", "cell": [[5.398, 0.000, 0.000], [0.000, 5.398, 0.000], [0.000, 0.000, 5.398]], "species": ["Y", "Y", "Cu", "Y", "Gd"], "fractional_positions": [[0.000, 0.000, 0.500], [0.000, 0.500, 0.000], [0.000, 0.000, 0.000], [0.500, 0.000, 0.000], [0.500, 0.500, 0.500]], "delta_e_f_ev_per_atom": 0.091, "total_magnetization_mub_per_cell": 7.35}

***

20.
{"formula": "AcPr12Ni6", "functional": "PBE-GGA", "state": "optimized geometry", "cell": [[8.421, 0.000, -2.977], [-4.211, 7.293, -2.977], [0.000, 0.000, 8.932]], "species": ["Pr", "Pr", "Pr", "Ni", "Pr", "Ac", "Ni", "Pr", "Ni", "Ni", "Pr", "Pr", "Pr", "Pr", "Ni", "Pr", "Pr", "Ni", "Pr"], "fractional_positions": [[0.315, 0.130, 0.814], [0.315, 0.501, 0.186], [0.501, 0.186, 0.315], [0.120, 0.620, 0.500], [0.499, 0.814, 0.685], [0.000, 0.000, 0.000], [0.500, 0.120, 0.620], [0.685, 0.499, 0.814], [0.620, 0.500, 0.120], [0.880, 0.380, 0.500], [0.130, 0.814, 0.315], [0.814, 0.315, 0.130], [0.870, 0.186, 0.685], [0.186, 0.685, 0.870], [0.380, 0.500, 0.880], [0.814, 0.685, 0.499], [0.685, 0.870, 0.186], [0.500, 0.880, 0.380], [0.186, 0.315, 0.501]], "delta_e_f_ev_per_atom": -0.157, "total_magnetization_mub_per_cell": 0.00}

***

21.
{"formula": "BaAu2F7", "functional": "PBE-GGA", "state": "optimized geometry", "cell": [[4.195, 0.000, 0.000], [0.000, 6.644, 0.060], [0.000, -2.877, 5.989]], "species": ["F", "Ba", "F", "F", "F", "Au", "Au", "F", "F", "F"], "fractional_positions": [[0.500, 0.309, 0.047], [0.000, 0.000, 0.000], [0.500, 0.691, 0.953], [0.000, 0.698, 0.302], [0.000, 0.302, 0.698], [0.500, 0.688, 0.312], [0.500, 0.312, 0.688], [0.500, 0.953, 0.691], [0.500, 0.047, 0.309], [0.500, 0.500, 0.500]], "total_magnetization_mub_per_cell": 0.00, "raw_formation_energy_ev_per_atom": -1.69}

***

22.
{"formula": "SmTmMgIr", "functional": "PBE-GGA", "state": "optimized geometry", "cell": [[-4.324, -2.304, 1.212], [-0.067, -3.478, 3.657], [-2.250, 1.011, 4.403]], "species": ["Mg", "Ir", "Sm", "Tm"], "fractional_positions": [[0.500, 0.500, 0.500], [0.000, 0.000, 0.000], [0.250, 0.250, 0.250], [0.750, 0.750, 0.750]], "delta_e_f_ev_per_atom": -0.424, "total_magnetization_mub_per_cell": 0.00}

***

23.
{"formula": "Ga2NiRu", "functional": "PBE-GGA", "state": "optimized geometry", "cell": [[-1.378, 1.984, 6.097], [5.266, -3.208, 2.234], [3.468, 1.623, 3.783]], "species": ["Ni", "Ga", "Ga", "Ru", "Ga", "Ga", "Ni", "Ru"], "fractional_positions": [[0.250, 0.750, 0.500], [0.145, 0.625, 0.250], [0.605, 0.125, 0.250], [0.000, 0.000, 0.000], [0.875, 0.855, 0.750], [0.375, 0.395, 0.750], [0.500, 0.500, 0.000], [0.750, 0.250, 0.500]], "delta_e_f_ev_per_atom": 0.056, "total_magnetization_mub_per_cell": 0.00}

***

24.
{"formula": "Sc2InCo", "functional": "PBE-GGA", "state": "optimized geometry", "cell": [[-6.952, -2.745, -1.205], [1.893, -6.380, 3.611], [-3.396, -3.439, 3.641]], "species": ["In", "Co", "Co", "Sc", "Sc", "In", "Sc", "Sc"], "fractional_positions": [[0.000, 0.000, 0.000], [0.250, 0.750, 0.500], [0.500, 0.500, 0.000], [0.875, 0.810, 0.750], [0.560, 0.125, 0.250], [0.750, 0.250, 0.500], [0.190, 0.625, 0.250], [0.375, 0.440, 0.750]], "delta_e_f_ev_per_atom": -0.011, "total_magnetization_mub_per_cell": 0.00}

***

25.
{"formula": "Dy2YTl4", "functional": "PBE-GGA", "state": "optimized geometry", "cell": [[-3.300, -1.802, -5.283], [-2.912, -2.398, 5.273], [0.148, 6.474, 0.336]], "species": ["Dy", "Tl", "Tl", "Dy", "Tl", "Y", "Tl"], "fractional_positions": [[0.500, 0.500, 0.000], [0.500, 0.500, 0.500], [0.000, 0.000, 0.500], [0.500, 0.000, 0.500], [0.000, 0.500, 0.000], [0.000, 0.000, 0.000], [0.500, 0.000, 0.000]], "relative_energy_ev_per_atom": 0.000, "delta_e_f_ev_per_atom": -0.234, "total_magnetization_mub_per_cell": 0.06}

***

26.
{"formula": "TmIn4CuO8", "functional": "PBE-GGA", "state": "optimized geometry", "cell": [[6.514, 0.000, 0.000], [3.257, 5.641, 0.000], [3.257, 1.880, 5.353]], "species": ["O", "O", "O", "O", "In", "O", "O", "O", "Cu", "In", "Tm", "In", "In", "O"], "fractional_positions": [[0.775, 0.243, 0.739], [0.759, 0.759, 0.722], [0.758, 0.224, 0.261], [0.241, 0.241, 0.276], [0.002, 0.002, 0.502], [0.224, 0.758, 0.261], [0.243, 0.775, 0.739], [0.758, 0.758, 0.261], [0.373, 0.373, 0.880], [0.002, 0.493, 0.502], [0.003, 0.003, 0.990], [0.624, 0.624, 0.128], [0.493, 0.002, 0.502], [0.243, 0.243, 0.739]], "total_magnetization_mub_per_cell": 0.31, "raw_formation_energy_ev_per_atom": -1.70}